DFT (PBE-GGA) results for a relaxed RbGaO2 crystal.

```
8
Lattice="6.943 0.000 0.000 0.000 6.943 0.000 3.472 3.472 2.825" Properties=species:S:1:pos:R:3 pbc="T T T"
O 4.402 6.013 0.000
O 0.930 4.402 0.000
O 2.541 0.930 0.000
O 6.013 2.541 0.000
Rb 3.472 3.472 1.412
Rb 6.943 6.943 1.412
Ga 6.943 3.472 1.412
Ga 3.472 6.943 1.412
```

formation energy from raw total energies = -1.579 eV per atom
density = 4.565 g/cm³
electronic total energy = -5.0565 eV per atom

=====

DFT (PBE-GGA) results for a relaxed Cd2Se crystal.

```
12
Lattice="-3.025 6.205 0.551 -4.733 -2.688 4.281 4.050 1.493 5.415" Properties=species:S:1:pos:R:3 pbc="T T T"
Se -0.342 -0.597 4.848
Se 0.513 3.849 2.983
Se -3.879 1.759 2.416
Se 0.000 0.000 0.000
Cd -3.226 2.740 5.056
Cd -0.482 2.270 5.191
Cd -1.240 2.242 1.339
Cd -1.669 5.744 3.063
Cd -2.468 2.768 8.909
Cd -2.798 -0.762 3.331
Cd -2.039 -0.734 7.184
Cd -0.911 5.772 6.916
```

formation energy from raw total energies = -0.168 eV per atom
density = 6.076 g/cm³
polymorph energy (0 for the lowest one) = 0.094 eV per atom
electronic total energy = -1.9395 eV per atom